Computed, not measured: a crystal of TcSbSe relaxed with PBEsol at the SCAN level of DFT.

## Properties
electronic total energy = -91.3 eV per formula unit
space group = Fmm2 (42)

a b c (Å): 3.0622 3.0975 7.6350
angles (deg): 84.31 78.43 60.38
Atoms (fractional coordinates):
Sb  0.9773  0.0000  0.0454
Tc  0.3234  0.0000  0.3532
Se  0.6993  0.0000  0.6014

---

Computed, not measured: a crystal of Mg2ScNi relaxed with PBEsol at the SCAN level of DFT.

## Properties
electronic total energy = -40.7 eV per formula unit
space group = Imm2 (44)
ΔE_f = -0.34 eV per formula unit

a b c (Å): 3.3293 4.8437 5.4253
angles (deg): 116.51 107.87 90.00
Atoms (fractional coordinates):
Ni  0.5050  0.5050  0.0101
Sc  0.2072  0.7072  0.4145
Mg  0.7863  0.2863  0.5726
Mg  0.0014  0.0014  0.0029

---

Computed, not measured: a crystal of LiS3Br relaxed with PBEsol at the SCAN level of DFT.

## Properties
electronic total energy = -47.6 eV per formula unit
space group = Pm-3m (221)

a b c (Å): 4.8716 4.8716 4.8716
angles (deg): 90.00 90.00 90.00
Atoms (fractional coordinates):
S  0.5000  0.0000  0.0000
S  0.0000  0.5000  0.0000
S  0.0000  0.0000  0.5000
Br  0.0000  0.0000  0.0000
Li  0.5000  0.5000  0.5000

---

- Which value of electronic total energy does entry 3 give?
  -47.6 eV per formula unit